1.
Density functional theory data (PBE-GGA) for an optimized crystal structure of TlHgIr.

Cell lengths 8.3895, 8.1193, 3.0357 Å; angles 84.47, 74.43, 21.11 degrees
With the nearest neighbours (Å) after each atom.
Sites, in units of the cell vectors:
Hg 0.9825 0.9825 0.0175  2 Ir 2.83, 6 Hg 3.04-3.08
Ir 0.3338 0.3338 0.6662  2 Hg 2.83, 2 Tl 2.85, 6 Ir 3.04-3.08
Tl 0.6837 0.6837 0.3163  2 Ir 2.85, 6 Tl 3.04-3.08

- Energy relative to the elements: 1.78 eV/f.u.
- D(E_F): 0.71 states/eV per atom
- VASP energy: -3.25 eV/atom
- Distance to the lowest polymorph of the same formula: 0.174 eV/atom
- Total magnetization: 0.00 μB/cell
- Calculated density: 15.43 g cm⁻³
- Symmetry: No. 42

***

2.
Density functional theory data (PBE-GGA) for an optimized crystal structure of Li2TmMgIn2.

Cell lengths 4.8245, 4.8245, 6.5040 Å; angles 90.00, 90.00, 120.00 degrees
With the nearest neighbours (Å) after each atom.
Sites, in units of the cell vectors:
Li 0.3333 0.6667 0.7952  4 In 2.82-3.09, 3 Mg 3.09
Li 0.6667 0.3333 0.2048  4 In 2.82-3.09, 3 Mg 3.09
Tm 0.0000 0.0000 0.5000  6 In 3.16, 2 Mg 3.25, 6 Li 3.38
Mg 0.0000 0.0000 0.0000  6 Li 3.09, 2 Tm 3.25, 6 In 3.29
In 0.3333 0.6667 0.2698  4 Li 2.82-3.09
In 0.6667 0.3333 0.7302  4 Li 2.82-3.09

- Energy relative to the elements: -1.72 eV/f.u.
- D(E_F): 0.39 states/eV per atom
- VASP energy: -2.85 eV/atom
- Total magnetization: 0.00 μB/cell
- Calculated density: 5.53 g cm⁻³
- Symmetry: No. 164

***

3.
Density functional theory data (PBE-GGA) for an optimized crystal structure of La2CoGe3Ir4.

Cell lengths 4.2409, 4.2409, 10.3660 Å; angles 90.00, 90.00, 90.00 degrees
With the nearest neighbours (Å) after each atom.
Sites, in units of the cell vectors:
La 0.5000 0.0000 0.2555  8 Ir 3.23-3.39, 6 Ge 3.27-3.30, 2 Co 3.30
La 0.0000 0.5000 0.7445  8 Ir 3.23-3.39, 6 Ge 3.27-3.30, 2 Co 3.30
Co 0.5000 0.5000 0.5000  4 Ir 2.50
Ge 0.0000 0.0000 0.5000  4 Ir 2.50
Ge 0.5000 0.0000 0.8697  5 Ir 2.50-2.51
Ge 0.0000 0.5000 0.1303  5 Ir 2.50-2.51
Ir 0.5000 0.5000 0.0000  4 Ge 2.51
Ir 0.0000 0.0000 0.0000  4 Ge 2.51
Ir 0.5000 0.0000 0.6285  3 Ge 2.50, 2 Co 2.50
Ir 0.0000 0.5000 0.3715  3 Ge 2.50, 2 Co 2.50

- Energy relative to the elements: -6.82 eV/f.u.
- D(E_F): 0.67 states/eV per atom
- VASP energy: -7.31 eV/atom
- Total magnetization: 1.51 μB/cell
- Calculated density: 11.79 g cm⁻³
- Symmetry: No. 115

***

4.
Density functional theory data (PBE-GGA) for an optimized crystal structure of GdLuMgZn.

Cell lengths 5.1701, 5.1701, 5.1701 Å; angles 60.00, 60.00, 60.00 degrees
With the nearest neighbours (Å) after each atom.
Sites, in units of the cell vectors:
Gd 0.0000 0.0000 0.0000  4 Mg 3.17, 4 Zn 3.17
Zn 0.2500 0.2500 0.2500  4 Gd 3.17, 4 Lu 3.17
Lu 0.5000 0.5000 0.5000  4 Zn 3.17, 4 Mg 3.17
Mg 0.7500 0.7500 0.7500  4 Gd 3.17, 4 Lu 3.17

- Energy relative to the elements: -0.70 eV/f.u.
- D(E_F): 0.77 states/eV per atom
- VASP energy: -5.54 eV/atom
- Total magnetization: 7.63 μB/cell
- Calculated density: 7.17 g cm⁻³
- Symmetry: No. 216